Entry from the Alexandria database: crystalline ZnHgRu2 at its relaxed geometry (PBE).

The space group is I-42d (No. 122) and the conventional cell measures 7.291, 7.291 and 5.123 Å, with angles of 90.00, 90.00 and 90.00 degrees. The asymmetric unit holds Zn at (0.000, 0.000, 0.000), Hg at (0.000, 0.000, 0.500) and Ru at (0.224, 0.250, 0.125).

Its energy above the most stable polymorph in this dataset is 640 meV per atom.

Entry from the Alexandria database: crystalline Fe3Re at its relaxed geometry (PBE).

The space group is Immm (No. 71) and the conventional cell measures 2.909, 4.145 and 8.180 Å, with angles of 90.00, 90.00 and 90.00 degrees. The asymmetric unit holds Fe at (0.000, 0.000, 0.000), Fe at (0.000, 0.500, 0.255) and Re at (0.000, 0.000, 0.500).

Entry from the Alexandria database: crystalline CdSbAs2 at its relaxed geometry (PBE).

The space group is R-3m (No. 166, hexagonal axes) and the conventional cell measures 3.1819, 3.1819 and 30.5451 Å, with angles of 90.00, 90.00 and 120.00 degrees. The asymmetric unit holds Cd at (0.0000, 0.0000, 0.0000), Sb at (0.0000, 0.0000, 0.5000) and As at (0.0000, 0.0000, 0.2542).

Its energy above the most stable polymorph in this dataset is 277 meV per atom. The uncorrected formation energy comes out at 322 meV/atom.

Entry from the Alexandria database: crystalline TiTe2AuN at its relaxed geometry (PBE).

The space group is P4/mmm (No. 123) and the conventional cell measures 5.589, 5.589 and 3.870 Å, with angles of 90.00, 90.00 and 90.00 degrees. The asymmetric unit holds Ti at (0.000, 0.000, 0.000), Te at (0.000, 0.500, 0.500), Au at (0.500, 0.500, 0.500) and N at (0.500, 0.500, 0.000).

Its energy above the most stable polymorph in this dataset is 758 meV per atom. The uncorrected formation energy comes out at 894 meV/atom.

Per-record total DFT energy (no corrections), eV for the cell shown: -68.0, -75.1, -39.1, -21.3
Per-record volume, Å³ per atom: 17.023, 12.328, 22.319, 24.175